Entry 1:
Density functional theory data (PBE) for an optimized crystal structure of MnCrW2.

Summary:
DOS(E_F) ... 0.88 states/eV per atom
Calculated density ... 13.81 g/cm3
Relative energy among the computed polymorphs ... 0.3568 eV/atom

Unit cell a=8.134 b=8.134 c=8.134 alpha=20.37 beta=20.37 gamma=20.37
Last column: magnetic moment on the atom in μB.
Atoms (fractional coordinates):
Cr 0.250 0.250 0.250  -0.09
Mn 0.750 0.750 0.750  0.77
W 0.000 0.000 0.000  -0.07
W 0.500 0.500 0.500  -0.07

=====

Entry 2:
Density functional theory data (PBE) for an optimized crystal structure of ZnAs2IrRu.

Summary:
DOS(E_F) ... 0.60 states/eV per atom
DFT total energy ... -4.874 eV/atom
Calculated density ... 8.44 g/cm3

Unit cell a=4.615 b=4.698 c=4.615 alpha=90.00 beta=90.00 gamma=90.00
Atoms (fractional coordinates):
Ru 0.000 0.000 0.000
As 0.000 0.000 0.500
As 0.500 0.000 0.000
Ir 0.500 0.500 0.500
Zn 0.000 0.500 0.000

=====

Entry 3:
Density functional theory data (PBE) for an optimized crystal structure of FeTcSb2.

Summary:
DOS(E_F) ... 1.17 states/eV per atom
Calculated density ... 9.18 g/cm3
Energy relative to the elements, uncorrected ... 259 meV/atom
Relative energy among the computed polymorphs ... 0.1134 eV/atom

Unit cell a=3.284 b=3.969 c=5.515 alpha=90.00 beta=90.00 gamma=90.00
Last column: magnetic moment on the atom in μB.
Atoms (fractional coordinates):
Fe 0.500 0.500 0.793  2.01
Sb 0.000 0.000 0.943  -0.06
Sb 0.500 0.500 0.303  -0.03
Tc 0.000 0.000 0.461  -0.04

=====

Entry 4:
Density functional theory data (PBE) for an optimized crystal structure of TbGa4Co4.

Summary:
DOS(E_F) ... 0.72 states/eV per atom
DFT total energy ... -5.305 eV/atom
Calculated density ... 8.47 g/cm3

Unit cell a=5.519 b=5.519 c=8.674 alpha=90.00 beta=90.00 gamma=90.00
Last column: magnetic moment on the atom in μB.
Atoms (fractional coordinates):
Tb 0.000 0.000 0.000  -0.04
Tb 0.500 0.500 0.500  -0.04
Ga 0.500 0.775 0.801  -0.02
Ga 0.500 0.225 0.801  -0.02
Ga 0.775 0.500 0.199  -0.02
Ga 0.225 0.500 0.199  -0.02
Ga 0.275 0.000 0.301  -0.02
Ga 0.725 0.000 0.301  -0.02
Ga 0.000 0.275 0.699  -0.02
Ga 0.000 0.725 0.699  -0.02
Co 0.215 0.500 0.916  0.65
Co 0.785 0.500 0.916  0.65
Co 0.500 0.785 0.084  0.65
Co 0.500 0.215 0.084  0.65
Co 0.000 0.715 0.416  0.65
Co 0.000 0.285 0.416  0.65
Co 0.285 0.000 0.584  0.65
Co 0.715 0.000 0.584  0.65

=====

Entry 5:
Density functional theory data (PBE) for an optimized crystal structure of ZrCdRu3.

Summary:
DOS(E_F) ... 1.78 states/eV per atom
Calculated density ... 7.88 g/cm3
Relative energy among the computed polymorphs ... 0.3504 eV/atom

Unit cell a=4.745 b=4.745 c=4.745 alpha=90.00 beta=90.00 gamma=90.00
Atoms (fractional coordinates):
Ru 0.000 0.500 0.000
Ru 0.000 0.000 0.500
Ru 0.500 0.000 0.000
Zr 0.500 0.500 0.500
Cd 0.000 0.000 0.000

=====

Entry 6:
Density functional theory data (PBE) for an optimized crystal structure of CsNi2Mo.

Summary:
DOS(E_F) ... 0.73 states/eV per atom
Calculated density ... 6.83 g/cm3
Relative energy among the computed polymorphs ... 0.3729 eV/atom

Unit cell a=3.187 b=3.187 c=8.283 alpha=90.00 beta=90.00 gamma=90.00
Last column: magnetic moment on the atom in μB.
Atoms (fractional coordinates):
Cs 0.000 0.000 0.500  0.00
Ni 0.500 0.500 0.147  0.07
Ni 0.500 0.500 0.853  0.07
Mo 0.000 0.000 0.000  0.11